## KTlTc3 (GGA-PBEsol)

Data for crystalline KTlTc3 at its relaxed geometry.

a = 5.171 Å, b = 5.171 Å, c = 5.171 Å
α = 90.00°, β = 90.00°, γ = 90.00°
Space group Pm-3m (No. 221)
Unique sites:
K (0.000, 0.000, 0.000)
Tl (0.500, 0.500, 0.500)
Tc (0.000, 0.500, 0.500)

Output
The formation energy is 12.9 eV/f.u.